Al2AgHg | GGA-PBE | relaxed

Cell lengths 4.8818, 3.3366, 5.1838 Å; angles 71.47, 90.00, 90.00 degrees
Closest atoms and distances in Å follow each position.
Fractional coordinates of all 4 atoms:
Hg 0.0000 0.1996 0.4776  5 Al 2.70-2.78, 2 Ag 2.87
Ag 0.5000 0.0447 0.7842  5 Al 2.68-2.81, 2 Hg 2.87
Al 0.0000 0.9226 0.0260  3 Hg 2.70-2.78, 2 Ag 2.72
Al 0.5000 0.3331 0.2123  3 Ag 2.68-2.81, 2 Hg 2.77

- Electronic total energy: -2.566 eV per atom
- ΔE_f: 94 meV/atom
- M_tot: 0.000 μB per formula unit